(1)
Here is crystalline LiPm2Zn4 at its relaxed geometry from Alexandria. Energies are from PBE.

The structure in extended XYZ format:
```
7
Lattice="4.562 0.000 0.000 2.272 5.180 0.000 0.019 1.880 6.181" Properties=species:S:1:pos:R:3 pbc="T T T"
Li 0.000 0.000 0.000
Pm 2.283 1.989 1.474
Pm 4.569 5.071 4.707
Zn 2.283 4.946 2.587
Zn 2.288 3.008 4.575
Zn 4.565 4.051 1.606
Zn 4.570 2.114 3.593
```

formation energy from the elements = -297 meV per atom
DOS at the Fermi energy = 5.13 states/eV per cell
V = 20.86 Å³/atom


(2)
Here is crystalline NaLiCa2Ir at its relaxed geometry from Alexandria. Energies are from PBE.

The structure in extended XYZ format:
```
5
Lattice="5.490 0.000 0.000 0.000 5.490 0.000 0.000 0.000 5.090" Properties=species:S:1:pos:R:3 pbc="T T T"
Na 0.000 0.000 0.000
Li 2.745 2.745 0.000
Ca 0.000 2.745 2.545
Ca 2.745 0.000 2.545
Ir 2.745 2.745 2.545
```

formation energy from the elements = -28 meV per atom
DOS at the Fermi energy = 2.50 states/eV per cell
V = 30.68 Å³/atom


(3)
Here is crystalline NaCaHfCl2 at its relaxed geometry from Alexandria. Energies are from PBE.

The structure in extended XYZ format:
```
5
Lattice="5.093 0.000 0.000 0.000 5.093 0.000 0.000 0.000 6.054" Properties=species:S:1:pos:R:3 pbc="T T T"
Na 0.000 0.000 0.000
Ca 2.546 2.546 3.027
Hf 0.000 0.000 3.027
Cl 0.000 2.546 0.000
Cl 2.546 0.000 0.000
```

electronic total energy = -16.93 eV/cell
DOS at the Fermi energy = 3.41 states/eV per cell
V = 31.40 Å³/atom


(4)
Here is crystalline ZnRe3H at its relaxed geometry from Alexandria. Energies are from PBE.

The structure in extended XYZ format:
```
5
Lattice="3.948 0.000 0.000 0.000 3.948 0.000 0.000 0.000 3.948" Properties=species:S:1:pos:R:3 pbc="T T T"
Zn 0.000 0.000 0.000
Re 0.000 1.974 1.974
Re 1.974 0.000 1.974
Re 1.974 1.974 0.000
H 1.974 1.974 1.974
```

DOS at the Fermi energy = 4.60 states/eV per cell
V = 12.30 Å³/atom
distance to the lowest polymorph of the same formula = 0 meV/atom


(5)
Here is crystalline Ca2TlCo at its relaxed geometry from Alexandria. Energies are from PBE.

The structure in extended XYZ format:
```
8
Lattice="-4.922 4.922 2.550 4.922 -4.922 2.550 4.922 4.922 -2.550" Properties=species:S:1:pos:R:3 pbc="T T T"
Ca 0.932 2.461 0.637
Ca -2.461 3.990 1.912
Ca -0.932 7.383 0.637
Ca 2.461 5.854 1.912
Tl 4.922 0.000 1.275
Tl 0.000 0.000 2.550
Co 0.000 0.000 0.000
Co 0.000 4.922 1.275
```

formation energy from the elements = 157 meV per atom
DOS at the Fermi energy = 5.01 states/eV per cell
V = 30.88 Å³/atom


(6)
Here is crystalline Cs2LaTi2O6 at its relaxed geometry from Alexandria. Energies are from PBE.

The structure in extended XYZ format:
```
11
Lattice="5.584 -3.224 0.000 5.584 3.224 0.000 -3.714 0.000 6.560" Properties=species:S:1:pos:R:3 pbc="T T T"
Cs 1.860 0.000 0.946
Cs 5.594 0.000 5.614
La -1.857 0.000 3.280
Ti 1.873 0.000 5.018
Ti 5.581 0.000 1.542
O 0.105 0.000 4.721
O 2.762 1.534 4.743
O 4.693 1.534 1.817
O 2.762 -1.534 4.743
O 4.693 -1.534 1.817
O 7.349 0.000 1.839
```

electronic total energy = -80.94 eV/cell
V = 21.47 Å³/atom